This record from Alexandria describes a relaxed BiAsS3 crystal. The functional is PBE-GGA.

Lattice parameters (Å, degrees): 4.763 4.763 4.763 90.00 90.00 90.00
Atoms (fractional coordinates):
S  0.000  0.500  0.000
S  0.000  0.000  0.500
S  0.500  0.000  0.000
As  0.000  0.000  0.000
Bi  0.500  0.500  0.500

Summary:
E_form (uncorrected) (eV/atom): 0.22
N(E_F) (states/eV/atom): 0.1739
Spin magnetization (μB/cell): 0.00

***

This record from Alexandria describes a relaxed Mo2P2C crystal. The functional is PBE-GGA.

Lattice parameters (Å, degrees): 6.578 6.578 3.110 90.00 90.00 90.00
Atoms (fractional coordinates):
P  0.359  0.859  0.000
P  0.859  0.641  0.000
P  0.641  0.141  0.000
P  0.141  0.359  0.000
Mo  0.157  0.657  0.500
Mo  0.657  0.843  0.500
Mo  0.843  0.343  0.500
Mo  0.343  0.157  0.500
C  0.000  0.000  0.000
C  0.500  0.500  0.000

Summary:
N(E_F) (states/eV/atom): 0.7346
Spin magnetization (μB/cell): 0.00
Energy relative to the elements (meV per atom): 773.3

***

This record from Alexandria describes a relaxed BaCaSc2Rh crystal. The functional is PBE-GGA.

Lattice parameters (Å, degrees): 5.171 5.171 5.767 90.00 90.00 90.00
Atoms (fractional coordinates):
Sc  0.000  0.500  0.000
Sc  0.500  0.000  0.000
Ca  0.000  0.000  0.500
Rh  0.000  0.000  0.000
Ba  0.500  0.500  0.500

Summary:
N(E_F) (states/eV/atom): 0.7922
Spin magnetization (μB/cell): 0.00
Energy relative to the elements (meV per atom): -225.9

***

This record from Alexandria describes a relaxed Rb5Pb3Cl12 crystal. The functional is PBE-GGA.

Lattice parameters (Å, degrees): 15.800 15.800 15.800 109.47 109.47 109.47
Site moments in Bohr magnetons follow the coordinates.
Atoms (fractional coordinates):
Pb  0.750  0.375  0.125  0.00
Pb  0.875  0.750  0.125  0.00
Pb  0.375  0.750  0.625  0.00
Pb  0.250  0.125  0.375  0.00
Pb  0.875  0.125  0.250  0.00
Pb  0.375  0.625  0.250  0.00
Pb  0.625  0.375  0.750  0.00
Pb  0.125  0.875  0.750  0.00
Pb  0.750  0.875  0.625  0.00
Pb  0.625  0.250  0.375  0.00
Pb  0.125  0.250  0.875  0.00
Pb  0.250  0.625  0.875  0.00
Rb  0.125  0.375  0.250  0.00
Rb  0.000  0.500  0.000  0.00
Rb  0.000  0.000  0.000  0.00
Rb  0.375  0.250  0.125  0.00
Rb  0.500  0.000  0.500  0.00
Rb  0.500  0.500  0.000  0.00
Rb  0.125  0.750  0.375  0.00
Rb  0.750  0.125  0.875  0.00
Rb  0.750  0.625  0.375  0.00
Rb  0.375  0.125  0.750  0.00
Rb  0.625  0.875  0.250  0.00
Rb  0.500  0.500  0.500  0.00
Rb  0.500  0.000  0.000  0.00
Rb  0.000  0.000  0.500  0.00
Rb  0.250  0.375  0.625  0.00
Rb  0.250  0.875  0.125  0.00
Rb  0.000  0.500  0.500  0.00
Rb  0.875  0.250  0.625  0.00
Rb  0.625  0.750  0.875  0.00
Rb  0.875  0.625  0.750  0.00
Cl  0.745  0.130  0.072  0.09
Cl  0.327  0.572  0.442  0.09
Cl  0.928  0.370  0.255  0.09
Cl  0.572  0.245  0.130  0.09
Cl  0.615  0.745  0.673  0.09
Cl  0.928  0.558  0.173  0.09
Cl  0.327  0.755  0.385  0.09
Cl  0.058  0.885  0.130  0.09
Cl  0.558  0.928  0.673  0.09
Cl  0.745  0.615  0.173  0.09
Cl  0.755  0.428  0.370  0.09
Cl  0.827  0.942  0.072  0.09
Cl  0.130  0.745  0.572  0.09
Cl  0.370  0.442  0.115  0.09
Cl  0.115  0.942  0.370  0.09
Cl  0.385  0.130  0.558  0.09
Cl  0.115  0.173  0.245  0.09
Cl  0.428  0.673  0.058  0.09
Cl  0.827  0.885  0.255  0.09
Cl  0.130  0.385  0.058  0.09
Cl  0.370  0.928  0.755  0.09
Cl  0.558  0.630  0.385  0.09
Cl  0.942  0.827  0.572  0.09
Cl  0.755  0.327  0.885  0.09
Cl  0.442  0.370  0.615  0.09
Cl  0.058  0.173  0.428  0.09
Cl  0.245  0.673  0.115  0.09
Cl  0.173  0.115  0.745  0.09
Cl  0.630  0.072  0.245  0.09
Cl  0.870  0.615  0.942  0.09
Cl  0.572  0.327  0.942  0.09
Cl  0.615  0.870  0.442  0.09
Cl  0.885  0.827  0.755  0.09
Cl  0.885  0.058  0.630  0.09
Cl  0.870  0.255  0.428  0.09
Cl  0.173  0.058  0.928  0.09
Cl  0.630  0.558  0.885  0.09
Cl  0.442  0.072  0.327  0.09
Cl  0.255  0.385  0.827  0.09
Cl  0.245  0.572  0.630  0.09
Cl  0.942  0.115  0.870  0.09
Cl  0.673  0.245  0.615  0.09
Cl  0.428  0.755  0.870  0.09
Cl  0.072  0.442  0.827  0.09
Cl  0.385  0.255  0.327  0.09
Cl  0.072  0.630  0.745  0.09
Cl  0.673  0.428  0.558  0.09
Cl  0.255  0.870  0.928  0.09

Summary:
E_form (uncorrected) (eV/atom): -1.32
N(E_F) (states/eV/atom): 1.0549
Spin magnetization (μB/cell): 5.45

***

This record from Alexandria describes a relaxed YMg3Sc crystal. The functional is PBE-GGA.

Lattice parameters (Å, degrees): 5.990 6.429 8.146 123.53 75.79 89.79
Atoms (fractional coordinates):
Y  0.781  0.270  0.175
Y  0.219  0.730  0.825
Mg  0.025  0.232  0.761
Mg  0.975  0.768  0.239
Mg  0.372  0.283  0.975
Mg  0.628  0.717  0.025
Mg  0.778  0.774  0.644
Mg  0.222  0.226  0.356
Sc  0.637  0.237  0.573
Sc  0.363  0.763  0.427

Summary:
N(E_F) (states/eV/atom): 1.0270
Spin magnetization (μB/cell): 0.00
Energy relative to the elements (meV per atom): -5.0

***

This record from Alexandria describes a relaxed Na3Mn5N12 crystal. The functional is PBE-GGA.

Lattice parameters (Å, degrees): 10.631 10.631 10.631 109.47 109.47 109.47
Atoms (fractional coordinates):
Na  0.750  0.375  0.125
Na  0.875  0.750  0.125
Na  0.375  0.750  0.625
Na  0.250  0.125  0.375
Na  0.875  0.125  0.250
Na  0.375  0.625  0.250
Na  0.625  0.375  0.750
Na  0.125  0.875  0.750
Na  0.750  0.875  0.625
Na  0.625  0.250  0.375
Na  0.125  0.250  0.875
Na  0.250  0.625  0.875
Mn  0.125  0.375  0.250
Mn  0.000  0.500  0.000
Mn  0.000  0.000  0.000
Mn  0.375  0.250  0.125
Mn  0.500  0.000  0.500
Mn  0.500  0.500  0.000
Mn  0.125  0.750  0.375
Mn  0.750  0.125  0.875
Mn  0.750  0.625  0.375
Mn  0.375  0.125  0.750
Mn  0.625  0.875  0.250
Mn  0.500  0.500  0.500
Mn  0.500  0.000  0.000
Mn  0.000  0.000  0.500
Mn  0.250  0.375  0.625
Mn  0.250  0.875  0.125
Mn  0.000  0.500  0.500
Mn  0.875  0.250  0.625
Mn  0.625  0.750  0.875
Mn  0.875  0.625  0.750
N  0.678  0.101  0.992
N  0.313  0.492  0.391
N  0.008  0.399  0.322
N  0.492  0.178  0.101
N  0.578  0.678  0.687
N  0.008  0.609  0.187
N  0.313  0.822  0.422
N  0.109  0.922  0.101
N  0.609  0.008  0.687
N  0.678  0.578  0.187
N  0.822  0.508  0.399
N  0.813  0.891  0.992
N  0.101  0.678  0.492
N  0.399  0.391  0.078
N  0.078  0.891  0.399
N  0.422  0.101  0.609
N  0.078  0.187  0.178
N  0.508  0.687  0.109
N  0.813  0.922  0.322
N  0.101  0.422  0.109
N  0.399  0.008  0.822
N  0.609  0.601  0.422
N  0.891  0.813  0.492
N  0.822  0.313  0.922
N  0.391  0.399  0.578
N  0.109  0.187  0.508
N  0.178  0.687  0.078
N  0.187  0.078  0.678
N  0.601  0.992  0.178
N  0.899  0.578  0.891
N  0.492  0.313  0.891
N  0.578  0.899  0.391
N  0.922  0.813  0.822
N  0.922  0.109  0.601
N  0.899  0.322  0.508
N  0.187  0.109  0.008
N  0.601  0.609  0.922
N  0.391  0.992  0.313
N  0.322  0.422  0.813
N  0.178  0.492  0.601
N  0.891  0.078  0.899
N  0.687  0.178  0.578
N  0.508  0.822  0.899
N  0.992  0.391  0.813
N  0.422  0.322  0.313
N  0.992  0.601  0.678
N  0.687  0.508  0.609
N  0.322  0.899  0.008

Summary:
E_form (uncorrected) (eV/atom): 0.34
N(E_F) (states/eV/atom): 0.7177
Spin magnetization (μB/cell): 0.01

***

This record from Alexandria describes a relaxed CaY2Pb2 crystal. The functional is PBE-GGA.

Lattice parameters (Å, degrees): 4.937 4.937 7.741 71.40 71.40 90.00
Site moments in Bohr magnetons follow the coordinates.
Atoms (fractional coordinates):
Pb  0.391  0.391  0.217  0.00
Pb  0.609  0.609  0.783  0.00
Y  0.750  0.250  0.500  0.09
Y  0.250  0.750  0.500  0.09
Ca  0.000  0.000  0.000  0.00

Summary:
N(E_F) (states/eV/atom): 0.9109
Spin magnetization (μB/cell): 0.29
Energy relative to the elements (meV per atom): -271.9

***

This record from Alexandria describes a relaxed SrNdTlPt crystal. The functional is PBE-GGA.

Lattice parameters (Å, degrees): 5.379 5.379 5.379 60.00 60.00 60.00
Atoms (fractional coordinates):
Sr  0.500  0.500  0.500
Tl  0.250  0.250  0.250
Nd  0.000  0.000  0.000
Pt  0.750  0.750  0.750

Summary:
N(E_F) (states/eV/atom): 0.8000
Spin magnetization (μB/cell): 0.00
Energy relative to the elements (meV per atom): -529.9

***

This record from Alexandria describes a relaxed La2Nd8Ho3 crystal. The functional is PBE-GGA.

Lattice parameters (Å, degrees): 6.186 11.903 8.994 131.43 72.18 90.00
Atoms (fractional coordinates):
La  0.655  0.690  0.380
La  0.345  0.310  0.620
Nd  0.767  0.415  0.830
Nd  0.233  0.585  0.170
Nd  0.102  0.862  0.723
Nd  0.898  0.138  0.277
Nd  0.341  0.922  0.325
Nd  0.341  0.403  0.325
Nd  0.659  0.597  0.675
Nd  0.659  0.078  0.675
Ho  0.500  0.000  0.000
Ho  0.000  0.261  0.000
Ho  0.000  0.739  0.000

Summary:
N(E_F) (states/eV/atom): 1.6623
Spin magnetization (μB/cell): 0.00
Energy relative to the elements (meV per atom): 159.6

***

This record from Alexandria describes a relaxed Na2PaTeO6 crystal. The functional is PBE-GGA.

Lattice parameters (Å, degrees): 5.794 5.794 5.888 60.52 60.53 60.00
Atoms (fractional coordinates):
Na  0.552  0.552  0.343
Na  0.054  0.054  0.837
Pa  0.817  0.817  0.549
Te  0.317  0.317  0.048
O  0.567  0.161  0.285
O  0.161  0.987  0.285
O  0.987  0.567  0.285
O  0.474  0.648  0.794
O  0.648  0.084  0.794
O  0.084  0.474  0.794

Summary:
E_form (uncorrected) (eV/atom): -2.14
N(E_F) (states/eV/atom): 0.3813
Spin magnetization (μB/cell): 0.00

***

This record from Alexandria describes a relaxed Pr5Sn2 crystal. The functional is PBE-GGA.

Lattice parameters (Å, degrees): 4.776 4.701 20.820 90.00 96.59 90.00
Atoms (fractional coordinates):
Pr  0.966  0.250  0.932
Pr  0.034  0.750  0.068
Pr  0.540  0.250  0.080
Pr  0.460  0.750  0.920
Pr  0.751  0.250  0.502
Pr  0.249  0.750  0.498
Pr  0.174  0.250  0.349
Pr  0.826  0.750  0.651
Pr  0.388  0.250  0.776
Pr  0.612  0.750  0.224
Sn  0.096  0.250  0.192
Sn  0.904  0.750  0.808
Sn  0.309  0.250  0.619
Sn  0.691  0.750  0.381

Summary:
N(E_F) (states/eV/atom): 1.3176
Spin magnetization (μB/cell): 0.00
Energy relative to the elements (meV per atom): -463.6

***

This record from Alexandria describes a relaxed Er4Tm3Sn4 crystal. The functional is PBE-GGA.

Lattice parameters (Å, degrees): 3.510 9.446 10.522 116.67 99.60 90.00
Site moments in Bohr magnetons follow the coordinates.
Atoms (fractional coordinates):
Er  0.338  0.154  0.675  0.09
Er  0.662  0.479  0.325  0.09
Er  0.662  0.846  0.325  0.09
Er  0.338  0.521  0.675  0.09
Tm  0.094  0.094  0.187  0.04
Tm  0.906  0.906  0.813  0.04
Tm  0.000  0.500  0.000  0.00
Sn  0.270  0.770  0.540  0.00
Sn  0.730  0.230  0.460  0.00
Sn  0.500  0.782  0.000  0.00
Sn  0.500  0.218  0.000  0.00

Summary:
N(E_F) (states/eV/atom): 1.0931
Spin magnetization (μB/cell): 0.63
Energy relative to the elements (meV per atom): -487.3

***

This record from Alexandria describes a relaxed HoTm2Mg2 crystal. The functional is PBE-GGA.

Lattice parameters (Å, degrees): 3.673 5.389 13.961 90.00 97.57 90.00
Atoms (fractional coordinates):
Ho  0.848  0.750  0.695
Ho  0.152  0.250  0.305
Tm  0.044  0.750  0.087
Tm  0.956  0.250  0.913
Tm  0.237  0.750  0.475
Tm  0.763  0.250  0.525
Mg  0.639  0.750  0.280
Mg  0.361  0.250  0.720
Mg  0.446  0.750  0.892
Mg  0.554  0.250  0.108

Summary:
N(E_F) (states/eV/atom): 1.0818
Spin magnetization (μB/cell): 0.00
Energy relative to the elements (meV per atom): -56.9

***

This record from Alexandria describes a relaxed Rb2CoSbBr6 crystal. The functional is PBE-GGA.

Lattice parameters (Å, degrees): 7.724 7.724 7.724 60.00 60.00 90.00
Site moments in Bohr magnetons follow the coordinates.
Atoms (fractional coordinates):
Sb  0.000  0.000  0.000  0.06
Co  0.500  0.500  0.000  1.79
Br  0.261  0.261  0.479  0.01
Br  0.739  0.739  0.521  0.01
Br  0.260  0.260  0.000  0.01
Br  0.740  0.740  0.000  0.01
Br  0.740  0.260  0.000  0.01
Br  0.260  0.740  0.000  0.01
Rb  0.750  0.250  0.500  0.00
Rb  0.250  0.750  0.500  0.00

Summary:
E_form (uncorrected) (eV/atom): -0.88
N(E_F) (states/eV/atom): 0.0847
Spin magnetization (μB/cell): 2.00

***

This record from Alexandria describes a relaxed MnCrAg2 crystal. The functional is PBE-GGA.

Lattice parameters (Å, degrees): 9.348 9.348 9.348 17.84 17.84 17.84
Site moments in Bohr magnetons follow the coordinates.
Atoms (fractional coordinates):
Ag  0.001  0.001  0.001  0.04
Ag  0.499  0.499  0.499  0.04
Cr  0.250  0.250  0.250  3.39
Mn  0.750  0.750  0.750  3.65

Summary:
N(E_F) (states/eV/atom): 0.9839
Spin magnetization (μB/cell): 7.61
Energy relative to the elements (meV per atom): 532.2